Run w
Computed, not measured: crystalline Na2PdRh at its relaxed geometry at the PBE-GGA level of DFT.

Results
The density of states at the Fermi level is 2.89 states/eV/f.u. The value obtained for the theoretical density is 5.99 g/cm³. As for the spin magnetization: 0.71 μB per cell. The space-group type is No. 166. Its volume is 17.70 A^3/atom.

Cell lengths 2.8171, 2.8171, 10.4311 Å; angles 82.24, 82.24, 60.00 degrees
Last column: magnetic moment on the atom in μB.
Atoms (fractional coordinates):
1 Pd 0.5000 0.5000 0.5000  0.01
2 Rh 0.0000 0.0000 0.0000  0.70
3 Na 0.0877 0.0877 0.7370  0.00
4 Na 0.9123 0.9123 0.2630  0.00



Run x
Computed, not measured: crystalline Na2PdRh at its relaxed geometry at the PBE-GGA level of DFT.

Results
The density of states at the Fermi level is 3.25 states/eV/f.u. The value obtained for the theoretical density is 5.32 g/cm³. As for the spin magnetization: 2.16 μB per cell. The space-group type is No. 122. Its volume is 19.91 A^3/atom.

Cell lengths 7.7394, 7.7394, 6.0841 Å; angles 50.50, 50.50, 90.00 degrees
Last column: magnetic moment on the atom in μB.
Atoms (fractional coordinates):
1 Na 0.3750 0.3703 0.7500  -0.01
2 Na 0.1203 0.6250 0.2500  -0.01
3 Pd 0.7500 0.2500 0.5000  0.26
4 Pd 0.0000 0.0000 0.0000  0.26
5 Na 0.6297 0.1250 0.2500  -0.01
6 Na 0.8750 0.8797 0.7500  -0.01
7 Rh 0.5000 0.5000 0.0000  0.85
8 Rh 0.2500 0.7500 0.5000  0.85



Last place for stability: run x



Run w
Computed, not measured: crystalline NaPd2Rh2 at its relaxed geometry at the PBE-GGA level of DFT.

Results
The density of states at the Fermi level is 4.91 states/eV/f.u. The value obtained for the theoretical density is 8.72 g/cm³. As for the spin magnetization: 3.09 μB per cell. The space-group type is No. 127. Its volume is 16.82 A^3/atom.

Cell lengths 7.8554, 7.8554, 2.7256 Å; angles 90.00, 90.00, 90.00 degrees
Last column: magnetic moment on the atom in μB.
Atoms (fractional coordinates):
1 Pd 0.1824 0.6824 0.5000  0.24
2 Rh 0.8848 0.6152 0.0000  0.53
3 Pd 0.8176 0.3176 0.5000  0.24
4 Na 0.0000 0.0000 0.0000  0.00
5 Rh 0.6152 0.1152 0.0000  0.54
6 Pd 0.3176 0.1824 0.5000  0.24
7 Rh 0.1152 0.3848 0.0000  0.53
8 Rh 0.3848 0.8848 0.0000  0.54
9 Na 0.5000 0.5000 0.0000  0.00
10 Pd 0.6824 0.8176 0.5000  0.24



Run x
Computed, not measured: crystalline NaPd2Rh2 at its relaxed geometry at the PBE-GGA level of DFT.

Results
The density of states at the Fermi level is 7.02 states/eV/f.u. The value obtained for the theoretical density is 8.22 g/cm³. As for the spin magnetization: 1.36 μB per cell. The space-group type is No. 139. Its volume is 17.84 A^3/atom.

Cell lengths 3.7409, 3.7409, 6.9025 Å; angles 74.28, 74.28, 90.00 degrees
Last column: magnetic moment on the atom in μB.
Atoms (fractional coordinates):
1 Pd 0.3983 0.3983 0.2035  0.17
2 Rh 0.2500 0.7500 0.5000  0.51
3 Pd 0.6017 0.6017 0.7965  0.17
4 Rh 0.7500 0.2500 0.5000  0.51
5 Na 0.0000 0.0000 0.0000  0.00



Last place for stability: run x



Run w
Computed, not measured: crystalline NaPd2Rh2 at its relaxed geometry at the PBE-GGA level of DFT.

Results
The density of states at the Fermi level is 5.49 states/eV/f.u. The value obtained for the theoretical density is 8.72 g/cm³. As for the spin magnetization: 3.42 μB per cell. The space-group type is No. 127. Its volume is 16.82 A^3/atom.

Cell lengths 7.8526, 7.8526, 2.7277 Å; angles 90.00, 90.00, 90.00 degrees
Last column: magnetic moment on the atom in μB.
Atoms (fractional coordinates):
1 Pd 0.8760 0.6240 0.0000  0.27
2 Rh 0.6728 0.8272 0.5000  0.62
3 Na 0.0000 0.0000 0.0000  0.00
4 Rh 0.8272 0.3272 0.5000  0.58
5 Pd 0.3760 0.8760 0.0000  0.26
6 Rh 0.1728 0.6728 0.5000  0.58
7 Rh 0.3272 0.1728 0.5000  0.62
8 Pd 0.6240 0.1240 0.0000  0.26
9 Na 0.5000 0.5000 0.0000  0.00
10 Pd 0.1240 0.3760 0.0000  0.27



Run x
Computed, not measured: crystalline NaPd2Rh2 at its relaxed geometry at the PBE-GGA level of DFT.

Results
The density of states at the Fermi level is 9.40 states/eV/f.u. The value obtained for the theoretical density is 7.94 g/cm³. As for the spin magnetization: 0.00 μB per cell. The space-group type is No. 139. Its volume is 18.46 A^3/atom.

Cell lengths 4.0830, 4.0830, 6.2451 Å; angles 70.92, 70.92, 90.00 degrees
Atoms (fractional coordinates):
1 Rh 0.6042 0.6042 0.7915
2 Pd 0.7500 0.2500 0.5000
3 Na 0.0000 0.0000 0.0000
4 Pd 0.2500 0.7500 0.5000
5 Rh 0.3958 0.3958 0.2085



Last place for stability: run x



Run w
Computed, not measured: crystalline NaPdRu2 at its relaxed geometry at the PBE-GGA level of DFT.

Results
The density of states at the Fermi level is 4.99 states/eV/f.u. The value obtained for the theoretical density is 9.02 g/cm³. As for the spin magnetization: 0.00 μB per cell. The space-group type is No. 225. Its volume is 15.25 A^3/atom.

Cell lengths 4.4188, 4.4188, 4.4188 Å; angles 60.00, 60.00, 60.00 degrees
Atoms (fractional coordinates):
1 Na 0.0000 0.0000 0.0000
2 Ru 0.7500 0.7500 0.7500
3 Pd 0.5000 0.5000 0.5000
4 Ru 0.2500 0.2500 0.2500



Run x
Computed, not measured: crystalline NaPdRu2 at its relaxed geometry at the PBE-GGA level of DFT.

Results
The density of states at the Fermi level is 6.31 states/eV/f.u. The value obtained for the theoretical density is 7.67 g/cm³. As for the spin magnetization: 0.01 μB per cell. The space-group type is No. 122. Its volume is 17.94 A^3/atom.

Cell lengths 7.6963, 7.6963, 5.9573 Å; angles 49.76, 49.76, 90.00 degrees
Atoms (fractional coordinates):
1 Ru 0.6753 0.1250 0.2500
2 Pd 0.7500 0.2500 0.5000
3 Pd 0.0000 0.0000 0.0000
4 Na 0.5000 0.5000 0.0000
5 Ru 0.8750 0.9253 0.7500
6 Ru 0.0747 0.6250 0.2500
7 Na 0.2500 0.7500 0.5000
8 Ru 0.3750 0.3247 0.7500



Last place for stability: run x



Run w
Computed, not measured: crystalline Na2PdRu at its relaxed geometry at the PBE-GGA level of DFT.

Results
The density of states at the Fermi level is 5.61 states/eV/f.u. The value obtained for the theoretical density is 5.65 g/cm³. As for the spin magnetization: 2.13 μB per cell. The space-group type is No. 225. Its volume is 18.63 A^3/atom.

Cell lengths 4.7231, 4.7231, 4.7231 Å; angles 60.00, 60.00, 60.00 degrees
Last column: magnetic moment on the atom in μB.
Atoms (fractional coordinates):
1 Na 0.2500 0.2500 0.2500  -0.01
2 Ru 0.0000 0.0000 0.0000  1.91
3 Pd 0.5000 0.5000 0.5000  0.14
4 Na 0.7500 0.7500 0.7500  -0.01



Run x
Computed, not measured: crystalline Na2PdRu at its relaxed geometry at the PBE-GGA level of DFT.

Results
The density of states at the Fermi level is 5.12 states/eV/f.u. The value obtained for the theoretical density is 5.08 g/cm³. As for the spin magnetization: 4.62 μB per cell. The space-group type is No. 122. Its volume is 20.71 A^3/atom.

Cell lengths 7.8989, 7.8989, 6.1845 Å; angles 50.31, 50.31, 90.00 degrees
Last column: magnetic moment on the atom in μB.
Atoms (fractional coordinates):
1 Na 0.6400 0.1250 0.2500  -0.01
2 Ru 0.2500 0.7500 0.5000  1.97
3 Na 0.3750 0.3600 0.7500  -0.01
4 Na 0.8750 0.8900 0.7500  -0.01
5 Pd 0.0000 0.0000 0.0000  0.30
6 Na 0.1100 0.6250 0.2500  -0.01
7 Ru 0.5000 0.5000 0.0000  1.97
8 Pd 0.7500 0.2500 0.5000  0.30



Last place for stability: run x



Run w
Computed, not measured: crystalline NaPdRu3 at its relaxed geometry at the PBE-GGA level of DFT.

Results
The density of states at the Fermi level is 7.70 states/eV/f.u. The value obtained for the theoretical density is 6.31 g/cm³. As for the spin magnetization: 6.25 μB per cell. The space-group type is No. 221. Its volume is 22.77 A^3/atom.

Cell lengths 4.8469, 4.8469, 4.8469 Å; angles 90.00, 90.00, 90.00 degrees
Last column: magnetic moment on the atom in μB.
Atoms (fractional coordinates):
1 Na 0.5000 0.5000 0.5000  -0.01
2 Ru 0.0000 0.0000 0.5000  2.26
3 Pd 0.0000 0.0000 0.0000  0.55
4 Ru 0.0000 0.5000 0.0000  1.90
5 Ru 0.5000 0.0000 0.0000  1.44



Run x
Computed, not measured: crystalline NaPdRu3 at its relaxed geometry at the PBE-GGA level of DFT.

Results
The density of states at the Fermi level is 6.51 states/eV/f.u. The value obtained for the theoretical density is 8.00 g/cm³. As for the spin magnetization: 5.26 μB per cell. The space-group type is No. 221. Its volume is 17.95 A^3/atom.

Cell lengths 4.4776, 4.4776, 4.4776 Å; angles 90.00, 90.00, 90.00 degrees
Last column: magnetic moment on the atom in μB.
Atoms (fractional coordinates):
1 Ru 0.5000 0.0000 0.0000  1.62
2 Pd 0.5000 0.5000 0.5000  0.42
3 Ru 0.0000 0.5000 0.0000  1.62
4 Ru 0.0000 0.0000 0.5000  1.53
5 Na 0.0000 0.0000 0.0000  0.01



Last place for stability: run x



Run w
Computed, not measured: crystalline NaPd2Ru at its relaxed geometry at the PBE-GGA level of DFT.

Results
The density of states at the Fermi level is 3.77 states/eV/f.u. The value obtained for the theoretical density is 7.55 g/cm³. As for the spin magnetization: 5.50 μB per cell. The space-group type is No. 122. Its volume is 18.53 A^3/atom.

Cell lengths 7.2809, 7.2809, 5.8591 Å; angles 51.59, 51.59, 90.00 degrees
Last column: magnetic moment on the atom in μB.
Atoms (fractional coordinates):
1 Pd 0.0969 0.6250 0.2500  0.38
2 Na 0.5000 0.5000 0.0000  0.00
3 Pd 0.8750 0.9031 0.7500  0.39
4 Pd 0.3750 0.3469 0.7500  0.39
5 Ru 0.7500 0.2500 0.5000  1.86
6 Ru 0.0000 0.0000 0.0000  1.86
7 Pd 0.6531 0.1250 0.2500  0.38
8 Na 0.2500 0.7500 0.5000  0.00



Run x
Computed, not measured: crystalline NaPd2Ru at its relaxed geometry at the PBE-GGA level of DFT.

Results
The density of states at the Fermi level is 3.66 states/eV/f.u. The value obtained for the theoretical density is 8.60 g/cm³. As for the spin magnetization: 2.86 μB per cell. The space-group type is No. 225. Its volume is 16.26 A^3/atom.

Cell lengths 4.5138, 4.5138, 4.5138 Å; angles 60.00, 60.00, 60.00 degrees
Last column: magnetic moment on the atom in μB.
Atoms (fractional coordinates):
1 Ru 0.5000 0.5000 0.5000  2.05
2 Pd 0.7500 0.7500 0.7500  0.38
3 Na 0.0000 0.0000 0.0000  -0.01
4 Pd 0.2500 0.2500 0.2500  0.38



Last place for stability: run w



Run w
Computed, not measured: crystalline Na3PdS at its relaxed geometry at the PBE-GGA level of DFT.

Results
The density of states at the Fermi level is 6.32 states/eV/f.u. The value obtained for the theoretical density is 2.40 g/cm³. As for the spin magnetization: 0.00 μB per cell. The space-group type is No. 221. Its volume is 28.72 A^3/atom.

Cell lengths 5.2368, 5.2368, 5.2368 Å; angles 90.00, 90.00, 90.00 degrees
Atoms (fractional coordinates):
1 S 0.5000 0.5000 0.5000
2 Na 0.0000 0.5000 0.0000
3 Na 0.0000 0.0000 0.5000
4 Pd 0.0000 0.0000 0.0000
5 Na 0.5000 0.0000 0.0000



Run x
Computed, not measured: crystalline Na3PdS at its relaxed geometry at the PBE-GGA level of DFT.

Results
The density of states at the Fermi level is 6.65 states/eV/f.u. The value obtained for the theoretical density is 2.42 g/cm³. As for the spin magnetization: 0.00 μB per cell. The space-group type is No. 221. Its volume is 28.49 A^3/atom.

Cell lengths 5.2226, 5.2226, 5.2226 Å; angles 90.00, 90.00, 90.00 degrees
Atoms (fractional coordinates):
1 Na 0.5000 0.0000 0.0000
2 Na 0.0000 0.5000 0.0000
3 Pd 0.5000 0.5000 0.5000
4 Na 0.0000 0.0000 0.5000
5 S 0.0000 0.0000 0.0000



Last place for stability: run w